Record 1
DFT (PBE) results for a relaxed LiPr5 crystal.

Lattice parameters (Å, degrees): 3.664 9.540 7.981 48.87 76.73 78.93
Fractional positions:
Li 0.694 0.111 0.500
Pr 0.694 0.612 0.000
Pr 0.028 0.438 0.506
Pr 0.031 0.949 0.989
Pr 0.361 0.784 0.495
Pr 0.358 0.273 0.011

Properties
Density of states at the Fermi level, states/eV/f.u.: 7.3
Space group: C2/m, No. 12
Total magnetization, μB/cell: 0.00

Record 2
DFT (PBE) results for a relaxed Li4Pr crystal.

Lattice parameters (Å, degrees): 5.828 5.828 5.828 90.00 90.00 90.00
Fractional positions:
Li 0.000 0.500 0.500
Li 0.500 0.500 0.000
Li 0.500 0.000 0.500
Li 0.000 0.000 0.000
Pr 0.500 0.500 0.500

Properties
Density of states at the Fermi level, states/eV/f.u.: 6.2
Space group: Pm-3m, No. 221
Total magnetization, μB/cell: 2.23

Record 3
DFT (PBE) results for a relaxed LiPr3 crystal.

Lattice parameters (Å, degrees): 3.832 5.795 6.768 115.35 106.44 90.00
Fractional positions:
Pr 0.728 0.143 0.455
Pr 0.500 0.418 0.000
Pr 0.272 0.688 0.545
Li 0.000 0.918 0.000

Properties
Energy above the most stable polymorph in this dataset, kJ/mol of atoms: 0.00
Density of states at the Fermi level, states/eV/f.u.: 4.8
Space group: Imm2, No. 44
Total magnetization, μB/cell: 0.00

Record 4
DFT (PBE) results for a relaxed LiPr3 crystal.

Lattice parameters (Å, degrees): 4.971 4.971 6.294 113.26 113.26 90.00
Fractional positions:
Pr 0.250 0.750 0.500
Pr 0.500 0.500 0.000
Pr 0.750 0.250 0.500
Li 0.000 0.000 0.000

Properties
Energy above the most stable polymorph in this dataset, kJ/mol of atoms: 6.72
Density of states at the Fermi level, states/eV/f.u.: 5.6
Space group: I4/mmm, No. 139
Total magnetization, μB/cell: 0.00

Record 5
DFT (PBE) results for a relaxed LiPr3 crystal.

Lattice parameters (Å, degrees): 3.508 3.455 11.198 90.00 90.00 90.00
Fractional positions:
Li 0.000 0.000 0.966
Pr 0.500 0.000 0.710
Pr 0.500 0.500 0.189
Pr 0.000 0.500 0.469

Properties
Energy above the most stable polymorph in this dataset, kJ/mol of atoms: 15.50
Density of states at the Fermi level, states/eV/f.u.: 5.1
Space group: Pmm2, No. 25
Total magnetization, μB/cell: 0.00

Record 6
DFT (PBE) results for a relaxed Li2Pr crystal.

Lattice parameters (Å, degrees): 3.588 3.588 6.392 106.30 106.30 90.00
Fractional positions:
Li 0.694 0.694 0.387
Li 0.306 0.306 0.613
Pr 0.000 0.000 0.000

Properties
Energy above the most stable polymorph in this dataset, kJ/mol of atoms: 1.15
Density of states at the Fermi level, states/eV/f.u.: 2.7
Space group: I4/mmm, No. 139
Total magnetization, μB/cell: 0.00

Record 7
DFT (PBE) results for a relaxed LiPr4 crystal.

Lattice parameters (Å, degrees): 5.577 5.577 5.577 90.00 90.00 90.00
Fractional positions:
Li 0.500 0.500 0.500
Pr 0.000 0.500 0.500
Pr 0.000 0.000 0.000
Pr 0.500 0.000 0.500
Pr 0.500 0.500 0.000

Properties
Density of states at the Fermi level, states/eV/f.u.: 6.6
Space group: Pm-3m, No. 221
Total magnetization, μB/cell: 0.00

Record 8
DFT (PBE) results for a relaxed LiPr2 crystal.

Lattice parameters (Å, degrees): 3.802 3.802 6.979 105.84 105.84 90.02
Fractional positions:
Pr 0.846 0.846 0.694
Pr 0.154 0.154 0.306
Li 0.500 0.500 0.000

Properties
Density of states at the Fermi level, states/eV/f.u.: 4.6
Space group: I4/mmm, No. 139
Total magnetization, μB/cell: 0.40

no.,energy relative to the elements (meV per atom)
1,70
2,937
3,68
4,138
5,229
6,109
7,372
8,73